[1]
# AgAs2SeBr (PBE, optimized geometry)
data_AgAs2SeBr
_chemical_formula_sum 'Ag1 As2 Se1 Br1'
_cell_length_a 5.058
_cell_length_b 5.058
_cell_length_c 5.434
_cell_angle_alpha 90.00
_cell_angle_beta 90.00
_cell_angle_gamma 90.00
_space_group_name_H-M_alt 'P 4/m m m'
_space_group_IT_number 123
_space_group_name_Hall '-P 4 2'
loop_
_atom_site_label
_atom_site_fract_x
_atom_site_fract_y
_atom_site_fract_z
Ag1 0.000 0.000 0.000
As1 0.000 0.500 0.500
Se1 0.500 0.500 0.500
Br1 0.500 0.500 0.000
# - ΔE to the lowest computed polymorph (eV per atom) = 0.0000
# - formation energy without anion corrections (eV per atom) = 0.801

[2]
# AgAs2SeBr (PBE, optimized geometry)
data_AgAs2SeBr
_chemical_formula_sum 'Ag1 As2 Se1 Br1'
_cell_length_a 5.132
_cell_length_b 5.132
_cell_length_c 5.289
_cell_angle_alpha 90.00
_cell_angle_beta 90.00
_cell_angle_gamma 90.00
_space_group_name_H-M_alt 'P 4/m m m'
_space_group_IT_number 123
_space_group_name_Hall '-P 4 2'
loop_
_atom_site_label
_atom_site_fract_x
_atom_site_fract_y
_atom_site_fract_z
Ag1 0.000 0.000 0.000
As1 0.000 0.500 0.500
Se1 0.500 0.500 0.000
Br1 0.500 0.500 0.500
# - ΔE to the lowest computed polymorph (eV per atom) = 0.3537
# - formation energy without anion corrections (eV per atom) = 1.155

- Among the records above, which one has the highest ΔE to the lowest computed polymorph?
  number 2

What did the first record say?
# AgAs2SeBr (PBE, optimized geometry)
data_AgAs2SeBr
_chemical_formula_sum 'Ag1 As2 Se1 Br1'
_cell_length_a 5.058
_cell_length_b 5.058
_cell_length_c 5.434
_cell_angle_alpha 90.00
_cell_angle_beta 90.00
_cell_angle_gamma 90.00
_space_group_name_H-M_alt 'P 4/m m m'
_space_group_IT_number 123
_space_group_name_Hall '-P 4 2'
loop_
_atom_site_label
_atom_site_fract_x
_atom_site_fract_y
_atom_site_fract_z
Ag1 0.000 0.000 0.000
As1 0.000 0.500 0.500
Se1 0.500 0.500 0.500
Br1 0.500 0.500 0.000
# - ΔE to the lowest computed polymorph (eV per atom) = 0.0000
# - formation energy without anion corrections (eV per atom) = 0.801

Repeat the first record exactly.
# AgAs2SeBr (PBE, optimized geometry)
data_AgAs2SeBr
_chemical_formula_sum 'Ag1 As2 Se1 Br1'
_cell_length_a 5.058
_cell_length_b 5.058
_cell_length_c 5.434
_cell_angle_alpha 90.00
_cell_angle_beta 90.00
_cell_angle_gamma 90.00
_space_group_name_H-M_alt 'P 4/m m m'
_space_group_IT_number 123
_space_group_name_Hall '-P 4 2'
loop_
_atom_site_label
_atom_site_fract_x
_atom_site_fract_y
_atom_site_fract_z
Ag1 0.000 0.000 0.000
As1 0.000 0.500 0.500
Se1 0.500 0.500 0.500
Br1 0.500 0.500 0.000
# - ΔE to the lowest computed polymorph (eV per atom) = 0.0000
# - formation energy without anion corrections (eV per atom) = 0.801

What did the second record say?
# AgAs2SeBr (PBE, optimized geometry)
data_AgAs2SeBr
_chemical_formula_sum 'Ag1 As2 Se1 Br1'
_cell_length_a 5.132
_cell_length_b 5.132
_cell_length_c 5.289
_cell_angle_alpha 90.00
_cell_angle_beta 90.00
_cell_angle_gamma 90.00
_space_group_name_H-M_alt 'P 4/m m m'
_space_group_IT_number 123
_space_group_name_Hall '-P 4 2'
loop_
_atom_site_label
_atom_site_fract_x
_atom_site_fract_y
_atom_site_fract_z
Ag1 0.000 0.000 0.000
As1 0.000 0.500 0.500
Se1 0.500 0.500 0.000
Br1 0.500 0.500 0.500
# - ΔE to the lowest computed polymorph (eV per atom) = 0.3537
# - formation energy without anion corrections (eV per atom) = 1.155